[1]
A plane-wave DFT calculation with PBE was carried out for crystalline Si2AgW at its relaxed geometry.

Cell and atoms, written as POSCAR:
```
Si2AgW
1.0
5.2407 0.0118 -0.0118
2.6221 4.5376 0.0118
-3.6634 -2.7378 2.5591
Ag Si W
1 2 1
Cartesian
1.4521 2.0414 1.2854
7.7869 4.5055 0.0000
2.6617 -0.2792 1.2737
4.0927 2.3681 0.0000
```

Properties
N(E_F) (states/eV/f.u.): 2.9
Uncorrected formation energy (eV per atom): 0.3625

[2]
A plane-wave DFT calculation with PBE was carried out for crystalline DyUPd6 at its relaxed geometry.

Cell and atoms, written as POSCAR:
```
DyUPd6
1.0
-1.5521 -3.8073 -0.3678
1.0389 -0.0376 -3.9949
7.3629 -3.1893 1.9448
Dy U Pd
1 1 6
Cartesian
0.0000 0.0000 0.0000
3.6815 -1.5947 0.9724
-0.2566 -1.9225 -2.1813
3.4249 -3.5172 -1.2089
1.0941 -2.7138 0.3101
4.7167 -4.2829 1.2670
2.3896 -0.8289 -1.5035
6.0122 -2.3981 -0.5466
```

Properties
N(E_F) (states/eV/f.u.): 9.7
E_form (kJ/mol of formula units): -570.5

[3]
A plane-wave DFT calculation with PBE was carried out for crystalline AcLa4Pm2Sm at its relaxed geometry.

Cell and atoms, written as POSCAR:
```
AcLa4Pm2Sm
1.0
5.2759 0.0000 0.0000
2.6380 5.8720 -0.5634
2.6380 -0.1996 9.5433
Ac La Pm Sm
1 4 2 1
Cartesian
5.2759 2.8362 4.4899
2.6380 0.6020 5.9404
5.2759 2.0292 8.1623
7.9139 5.0704 3.0395
5.2759 3.6432 0.8176
7.9139 4.2959 6.7796
2.6380 1.3766 2.2003
0.0000 0.0000 0.0000
```

Properties
N(E_F) (states/eV/f.u.): 15.1
E_form (kJ/mol of formula units): 19.4

[4]
A plane-wave DFT calculation with PBE was carried out for crystalline RbNiSb3 at its relaxed geometry.

Cell and atoms, written as POSCAR:
```
RbNiSb3
1.0
5.9375 0.0000 0.0000
0.0000 5.9375 0.0000
0.0000 0.0000 5.9375
Sb Rb Ni
3 1 1
Cartesian
0.0000 2.9688 0.0000
0.0000 0.0000 2.9688
2.9688 0.0000 0.0000
0.0000 0.0000 0.0000
2.9688 2.9688 2.9688
```

Properties
N(E_F) (states/eV/f.u.): 15.6
Uncorrected formation energy (eV per atom): 2.0147

Let's list VASP energy in order: -25.20; -52.96; -37.84; -9.04 eV for the cell shown.
Let's list calculated density in order: 9.50; 12.26; 6.88; 4.04 g/cm³.
Let's list spin magnetization in order: 0.0; 1.8; 0.0; 0.0 μB per formula unit.